(1)
# K3DyEr3Te8 (PBE, optimized geometry)
data_K3DyEr3Te8
_symmetry_space_group_name_H-M 'P 1'
_symmetry_Int_Tables_number 1
_symmetry_space_group_name_Hall 'P 1'
_cell_length_a 9.886
_cell_length_b 9.886
_cell_length_c 9.886
_cell_angle_alpha 52.41
_cell_angle_beta 52.41
_cell_angle_gamma 52.41
loop_
_atom_site_label
_atom_site_type_symbol
_atom_site_fract_x
_atom_site_fract_y
_atom_site_fract_z
_atom_site_occupancy
K1 K 0.000 0.500 0.500 1
K2 K 0.500 0.000 0.500 1
K3 K 0.500 0.500 0.000 1
Dy1 Dy 0.500 0.500 0.500 1
Er1 Er 0.000 0.000 0.500 1
Er2 Er 0.000 0.500 0.000 1
Er3 Er 0.500 0.000 0.000 1
Te1 Te 0.232 0.738 0.738 1
Te2 Te 0.236 0.236 0.236 1
Te3 Te 0.262 0.262 0.768 1
Te4 Te 0.262 0.768 0.262 1
Te5 Te 0.738 0.232 0.738 1
Te6 Te 0.738 0.738 0.232 1
Te7 Te 0.764 0.764 0.764 1
Te8 Te 0.768 0.262 0.262 1
# Uncorrected formation energy   -1312 meV per atom
# VASP energy   -4.43 eV/atom

=====

(2)
# La7Dy3Er2 (PBE, optimized geometry)
data_La7Dy3Er2
_symmetry_space_group_name_H-M 'P 1'
_symmetry_Int_Tables_number 1
_symmetry_space_group_name_Hall 'P 1'
_cell_length_a 6.526
_cell_length_b 3.574
_cell_length_c 17.784
_cell_angle_alpha 90.00
_cell_angle_beta 95.62
_cell_angle_gamma 90.00
loop_
_atom_site_label
_atom_site_type_symbol
_atom_site_fract_x
_atom_site_fract_y
_atom_site_fract_z
_atom_site_occupancy
La1 La 0.000 0.000 0.000 1
La2 La 0.226 0.500 0.173 1
La3 La 0.262 0.500 0.491 1
La4 La 0.276 0.000 0.832 1
La5 La 0.724 0.000 0.168 1
La6 La 0.738 0.500 0.509 1
La7 La 0.774 0.500 0.827 1
Dy1 Dy 0.457 0.000 0.338 1
Dy2 Dy 0.500 0.500 0.000 1
Dy3 Dy 0.543 0.000 0.662 1
Er1 Er 0.058 0.500 0.669 1
Er2 Er 0.942 0.500 0.331 1
# Formation energy   69 meV/atom
# VASP energy   -4.72 eV/atom

=====

(3)
# LaDy9Er2 (PBE, optimized geometry)
data_LaDy9Er2
_symmetry_space_group_name_H-M 'P 1'
_symmetry_Int_Tables_number 1
_symmetry_space_group_name_Hall 'P 1'
_cell_length_a 11.247
_cell_length_b 11.247
_cell_length_c 3.520
_cell_angle_alpha 90.00
_cell_angle_beta 90.00
_cell_angle_gamma 120.00
loop_
_atom_site_label
_atom_site_type_symbol
_atom_site_fract_x
_atom_site_fract_y
_atom_site_fract_z
_atom_site_occupancy
La1 La 0.000 0.000 0.000 1
Dy1 Dy 0.000 0.500 0.000 1
Dy2 Dy 0.179 0.359 0.500 1
Dy3 Dy 0.179 0.821 0.500 1
Dy4 Dy 0.359 0.179 0.500 1
Dy5 Dy 0.500 0.000 0.000 1
Dy6 Dy 0.500 0.500 0.000 1
Dy7 Dy 0.641 0.821 0.500 1
Dy8 Dy 0.821 0.179 0.500 1
Dy9 Dy 0.821 0.641 0.500 1
Er1 Er 0.333 0.667 0.000 1
Er2 Er 0.667 0.333 0.000 1
# Distance to the lowest polymorph of the same formula   6 meV per atom
# Formation energy   32 meV/atom
# VASP energy   -4.59 eV/atom

=====

(4)
# La4Dy4Er5 (PBE, optimized geometry)
data_La4Dy4Er5
_symmetry_space_group_name_H-M 'P 1'
_symmetry_Int_Tables_number 1
_symmetry_space_group_name_Hall 'P 1'
_cell_length_a 9.520
_cell_length_b 9.520
_cell_length_c 9.520
_cell_angle_alpha 94.09
_cell_angle_beta 94.09
_cell_angle_gamma 149.01
loop_
_atom_site_label
_atom_site_type_symbol
_atom_site_fract_x
_atom_site_fract_y
_atom_site_fract_z
_atom_site_occupancy
La1 La 0.152 0.228 0.380 1
La2 La 0.228 0.848 0.076 1
La3 La 0.772 0.152 0.924 1
La4 La 0.848 0.772 0.620 1
Dy1 Dy 0.078 0.612 0.690 1
Dy2 Dy 0.388 0.078 0.465 1
Dy3 Dy 0.612 0.922 0.535 1
Dy4 Dy 0.922 0.388 0.310 1
Er1 Er 0.000 0.000 0.000 1
Er2 Er 0.308 0.463 0.771 1
Er3 Er 0.463 0.692 0.154 1
Er4 Er 0.537 0.308 0.846 1
Er5 Er 0.692 0.537 0.229 1
# Formation energy   33 meV/atom
# VASP energy   -4.65 eV/atom

=====

(5)
# La8Dy2Er (PBE, optimized geometry)
data_La8Dy2Er
_symmetry_space_group_name_H-M 'P 1'
_symmetry_Int_Tables_number 1
_symmetry_space_group_name_Hall 'P 1'
_cell_length_a 9.706
_cell_length_b 9.706
_cell_length_c 8.232
_cell_angle_alpha 104.65
_cell_angle_beta 104.65
_cell_angle_gamma 31.19
loop_
_atom_site_label
_atom_site_type_symbol
_atom_site_fract_x
_atom_site_fract_y
_atom_site_fract_z
_atom_site_occupancy
La1 La 0.047 0.047 0.228 1
La2 La 0.137 0.137 0.685 1
La3 La 0.319 0.319 0.588 1
La4 La 0.408 0.408 0.047 1
La5 La 0.592 0.592 0.953 1
La6 La 0.681 0.681 0.412 1
La7 La 0.863 0.863 0.315 1
La8 La 0.953 0.953 0.772 1
Dy1 Dy 0.226 0.226 0.134 1
Dy2 Dy 0.774 0.774 0.866 1
Er1 Er 0.500 0.500 0.500 1
# Distance to the lowest polymorph of the same formula   0 meV per atom
# Formation energy   21 meV/atom
# VASP energy   -4.81 eV/atom

=====

(6)
# La3Dy4Er5 (PBE, optimized geometry)
data_La3Dy4Er5
_symmetry_space_group_name_H-M 'P 1'
_symmetry_Int_Tables_number 1
_symmetry_space_group_name_Hall 'P 1'
_cell_length_a 9.325
_cell_length_b 9.325
_cell_length_c 8.632
_cell_angle_alpha 112.78
_cell_angle_beta 112.78
_cell_angle_gamma 35.51
loop_
_atom_site_label
_atom_site_type_symbol
_atom_site_fract_x
_atom_site_fract_y
_atom_site_fract_z
_atom_site_occupancy
La1 La 0.000 0.000 0.000 1
La2 La 0.318 0.318 0.763 1
La3 La 0.682 0.682 0.237 1
Dy1 Dy 0.278 0.278 0.348 1
Dy2 Dy 0.451 0.451 0.301 1
Dy3 Dy 0.549 0.549 0.699 1
Dy4 Dy 0.722 0.722 0.652 1
Er1 Er 0.090 0.090 0.449 1
Er2 Er 0.166 0.166 0.900 1
Er3 Er 0.500 0.500 0.000 1
Er4 Er 0.834 0.834 0.100 1
Er5 Er 0.910 0.910 0.551 1
# Distance to the lowest polymorph of the same formula   253 meV per atom
# Formation energy   281 meV/atom
# VASP energy   -4.39 eV/atom

=====

(7)
# LaDy4Er5 (PBE, optimized geometry)
data_LaDy4Er5
_symmetry_space_group_name_H-M 'P 1'
_symmetry_Int_Tables_number 1
_symmetry_space_group_name_Hall 'P 1'
_cell_length_a 7.862
_cell_length_b 7.862
_cell_length_c 7.862
_cell_angle_alpha 99.11
_cell_angle_beta 99.11
_cell_angle_gamma 133.09
loop_
_atom_site_label
_atom_site_type_symbol
_atom_site_fract_x
_atom_site_fract_y
_atom_site_fract_z
_atom_site_occupancy
La1 La 0.000 0.000 0.000 1
Dy1 Dy 0.180 0.880 0.597 1
Dy2 Dy 0.283 0.583 0.403 1
Dy3 Dy 0.583 0.180 0.300 1
Dy4 Dy 0.880 0.283 0.700 1
Er1 Er 0.459 0.459 0.000 1
Er2 Er 0.490 0.869 0.911 1
Er3 Er 0.579 0.490 0.621 1
Er4 Er 0.869 0.958 0.379 1
Er5 Er 0.958 0.579 0.089 1
# Distance to the lowest polymorph of the same formula   239 meV per atom
# Formation energy   306 meV/atom
# VASP energy   -4.31 eV/atom

=====

(8)
# La3Dy4Er (PBE, optimized geometry)
data_La3Dy4Er
_symmetry_space_group_name_H-M 'P 1'
_symmetry_Int_Tables_number 1
_symmetry_space_group_name_Hall 'P 1'
_cell_length_a 7.231
_cell_length_b 10.237
_cell_length_c 7.194
_cell_angle_alpha 90.00
_cell_angle_beta 90.00
_cell_angle_gamma 90.00
loop_
_atom_site_label
_atom_site_type_symbol
_atom_site_fract_x
_atom_site_fract_y
_atom_site_fract_z
_atom_site_occupancy
La1 La 0.000 0.000 0.000 1
La2 La 0.000 0.500 0.000 1
La3 La 0.250 0.250 0.257 1
La4 La 0.500 0.000 0.000 1
La5 La 0.500 0.500 0.000 1
La6 La 0.750 0.750 0.743 1
Dy1 Dy 0.000 0.000 0.500 1
Dy2 Dy 0.000 0.500 0.500 1
Dy3 Dy 0.250 0.750 0.255 1
Dy4 Dy 0.250 0.750 0.744 1
Dy5 Dy 0.500 0.000 0.500 1
Dy6 Dy 0.500 0.500 0.500 1
Dy7 Dy 0.750 0.250 0.256 1
Dy8 Dy 0.750 0.250 0.745 1
Er1 Er 0.250 0.250 0.747 1
Er2 Er 0.750 0.750 0.253 1
# Distance to the lowest polymorph of the same formula   0 meV per atom
# Formation energy   20 meV/atom
# VASP energy   -4.70 eV/atom